1.
Below is an optimized crystal structure of InTe4Os, with properties calculated at the PBE-GGA level.

Unit cell a=6.320 b=6.320 c=6.320 alpha=60.00 beta=60.00 gamma=60.00
Element x y z (fractional)
In 0.000 0.000 0.000
Te 0.376 0.376 0.376
Te 0.376 0.376 0.871
Te 0.376 0.871 0.376
Te 0.871 0.376 0.376
Os 0.750 0.750 0.750

Calculated values
total DFT energy (no corrections): -3.220 eV per atom
calculated volume: 29.748 Å³/atom
Fermi-level density of states: 1.22 states/eV per atom

---

2.
Below is an optimized crystal structure of InTe2Os, with properties calculated at the PBE-GGA level.

Unit cell a=5.236 b=5.236 c=6.274 alpha=109.97 beta=109.97 gamma=43.50
Element x y z (fractional)
In 0.000 0.000 0.000
Te 0.161 0.161 0.679
Te 0.324 0.324 0.297
Os 0.720 0.720 0.988

Calculated values
total DFT energy (no corrections): -4.883 eV per atom
calculated volume: 27.534 Å³/atom
Fermi-level density of states: 0.68 states/eV per atom

---

3.
Below is an optimized crystal structure of In2TeOs, with properties calculated at the PBE-GGA level.

Unit cell a=3.194 b=3.194 c=9.246 alpha=90.00 beta=90.00 gamma=90.00
Element x y z (fractional)
In 0.000 0.000 0.000
In 0.500 0.500 0.266
Te 0.500 0.500 0.644
Os 0.000 0.000 0.480

Calculated values
total DFT energy (no corrections): -4.648 eV per atom
calculated volume: 23.585 Å³/atom
Fermi-level density of states: 0.62 states/eV per atom

---

4.
Below is an optimized crystal structure of In2TeOs, with properties calculated at the PBE-GGA level.

Unit cell a=3.203 b=3.203 c=8.957 alpha=90.00 beta=90.00 gamma=90.00
Element x y z (fractional)
In 0.000 0.000 0.184
In 0.000 0.000 0.816
Te 0.500 0.500 0.500
Os 0.500 0.500 0.000

Calculated values
total DFT energy (no corrections): -4.560 eV per atom
calculated volume: 22.968 Å³/atom
Fermi-level density of states: 0.58 states/eV per atom

---

Which of these has the highest Fermi-level density of states? InTe4Os

---

calculated volume of number 2 (InTe2Os)? 27.534 Å³/atom

---

Number 2 is which compound? InTe2Os